The following is a PBE calculation of an optimized crystal structure of VPbS3, from Alexandria.

Cell: 5.1166 5.1166 5.1166 Å, 90.00 90.00 90.00°
Last column: nearest neighbours and their distance in Å.
Space group Pm-3m (No. 221)
Inequivalent atoms, fractional coordinates:
V (0.0000, 0.0000, 0.0000)  12 S 3.62
Pb (0.5000, 0.5000, 0.5000)  6 S 2.56
S (0.0000, 0.5000, 0.5000)  2 Pb 2.56

Final energy (eV for the cell shown): -21.0

The following is a PBE calculation of an optimized crystal structure of SrBe2As, from Alexandria.

Cell: 3.8324 3.8324 17.5016 Å, 90.00 90.00 120.00°
Last column: nearest neighbours and their distance in Å.
Space group R3m (No. 160, hexagonal axes)
Inequivalent atoms, fractional coordinates:
Sr (0.0000, 0.0000, 0.0000)  6 Be 3.12-3.20, 4 As 3.28-3.41
Be (0.0000, 0.0000, 0.4654)  3 Be 2.22, 3 As 2.47
Be (0.0000, 0.0000, 0.7927)  3 Be 2.22
As (0.0000, 0.0000, 0.1949)  6 Be 2.47-2.52

ΔE_f (eV per atom): -0.120
Final energy (eV for the cell shown): -42.8

The following is a PBE calculation of an optimized crystal structure of TmThRuRh, from Alexandria.

Cell: 6.9490 6.9490 6.9490 Å, 90.00 90.00 90.00°
Last column: nearest neighbours and their distance in Å.
Space group F-43m (No. 216)
Inequivalent atoms, fractional coordinates:
Tm (0.0000, 0.0000, 0.0000)  4 Ru 3.01, 4 Rh 3.01
Th (0.0000, 0.0000, 0.5000)  4 Ru 3.01, 4 Rh 3.01
Ru (0.2500, 0.2500, 0.2500)  4 Th 3.01, 4 Tm 3.01
Rh (0.2500, 0.2500, 0.7500)  4 Th 3.01, 4 Tm 3.01

ΔE_f (eV per atom): -0.659
Final energy (eV for the cell shown): -124.6

The following is a PBE calculation of an optimized crystal structure of Pu3Mn2Au, from Alexandria.

Cell: 3.1715 3.1715 11.9697 Å, 90.00 90.00 90.00°
Last column: nearest neighbours and their distance in Å.
Space group P4/mmm (No. 123)
Inequivalent atoms, fractional coordinates:
Pu (0.0000, 0.0000, 0.0000)  8 Mn 2.92, 4 Pu 3.17
Pu (0.0000, 0.0000, 0.3089)  4 Mn 2.89, 4 Pu 3.17, 4 Au 3.20
Mn (0.5000, 0.5000, 0.1562)  8 Pu 2.89-2.92, 4 Mn 3.17
Au (0.5000, 0.5000, 0.5000)  4 Au 3.17, 8 Pu 3.20

ΔE_f (eV per atom): -0.070
Final energy (eV for the cell shown): -65.0

The following is a PBE calculation of an optimized crystal structure of Ba6Pt3Au, from Alexandria.

Cell: 13.1414 4.6659 13.3987 Å, 90.00 108.93 90.00°
Last column: nearest neighbours and their distance in Å.
Space group P2_1/m (No. 11)
Inequivalent atoms, fractional coordinates:
Ba (0.0356, 0.2500, 0.3927)  3 Pt 3.15
Ba (0.1052, 0.2500, 0.9411)  4 Pt 3.19-3.26
Ba (0.2255, 0.7500, 0.2662)  3 Pt 3.18-3.27
Ba (0.2906, 0.7500, 0.7576)  3 Pt 3.13-3.27
Ba (0.3779, 0.2500, 0.5382)  2 Pt 3.26, 3 Au 3.46-3.56
Ba (0.4250, 0.7500, 0.0927)  3 Pt 3.12-3.20
Pt (0.0593, 0.2500, 0.1658)  6 Ba 3.15-3.26
Pt (0.1954, 0.7500, 0.4994)  6 Ba 3.15-3.27
Pt (0.3427, 0.2500, 0.9222)  6 Ba 3.12-3.21
Au (0.4496, 0.2500, 0.3039)  8 Ba 3.46-3.76

ΔE_f (eV per atom): -0.665
Final energy (eV for the cell shown): -79.2

The following is a PBE calculation of an optimized crystal structure of PPb, from Alexandria.

Cell: 3.2550 3.2550 9.4594 Å, 90.00 90.00 90.00°
Last column: nearest neighbours and their distance in Å.
Space group P4/nmm (No. 129, origin choice 2)
Inequivalent atoms, fractional coordinates:
P (0.2500, 0.2500, 0.0325)  4 P 2.38
Pb (0.2500, 0.2500, 0.3303)  1 P 2.82

ΔE_f (eV per atom): 0.126
Final energy (eV for the cell shown): -17.7

The following is a PBE calculation of an optimized crystal structure of LiPr2Er3Te6, from Alexandria.

Cell: 19.2304 4.3660 8.8346 Å, 90.00 103.78 90.00°
Last column: nearest neighbours and their distance in Å.
Space group C2/m (No. 12)
Inequivalent atoms, fractional coordinates:
Li (0.0000, 0.0000, 0.0000)  6 Te 3.05-3.09
Pr (0.1712, 0.5000, 0.3433)  6 Te 3.15-3.26
Er (0.0000, 0.0000, 0.5000)  6 Te 3.00-3.12
Er (0.1703, 0.5000, 0.8322)  6 Te 3.01-3.12
Te (0.0033, 0.5000, 0.7544)  2 Li 3.09, 3 Er 3.12, 1 Pr 3.26
Te (0.1605, 0.0000, 0.5942)  3 Er 3.00-3.01, 3 Pr 3.15
Te (0.1632, 0.0000, 0.0710)  1 Li 3.05, 3 Er 3.06-3.11, 2 Pr 3.22

Final energy (eV for the cell shown): -119.8

The following is a PBE calculation of an optimized crystal structure of Li2AgP, from Alexandria.

Cell: 4.0423 4.0423 7.0752 Å, 90.00 90.00 90.00°
Last column: nearest neighbours and their distance in Å.
Space group I4/mmm (No. 139)
Inequivalent atoms, fractional coordinates:
Li (0.0000, 0.5000, 0.2500)  4 Ag 2.69, 4 P 2.69, 4 Li 2.86
Ag (0.0000, 0.0000, 0.0000)  8 Li 2.69, 4 P 2.86
P (0.0000, 0.0000, 0.5000)  8 Li 2.69, 4 Ag 2.86

ΔE_f (eV per atom): -0.372
Final energy (eV for the cell shown): -27.2

The following is a PBE calculation of an optimized crystal structure of Nd2ThGe3Pt4, from Alexandria.

Cell: 4.4054 4.4054 11.1729 Å, 90.00 90.00 90.00°
Last column: nearest neighbours and their distance in Å.
Space group P-4m2 (No. 115)
Inequivalent atoms, fractional coordinates:
Nd (0.0000, 0.5000, 0.2140)  8 Pt 3.25-3.42, 4 Ge 3.29
Th (0.0000, 0.0000, 0.5000)  4 Pt 2.84, 4 Ge 3.12
Ge (0.0000, 0.5000, 0.8815)  5 Pt 2.47-2.57
Ge (0.5000, 0.5000, 0.5000)  4 Pt 2.84, 4 Th 3.12
Pt (0.0000, 0.0000, 0.0000)  4 Ge 2.57
Pt (0.0000, 0.5000, 0.6605)  1 Ge 2.47
Pt (0.5000, 0.5000, 0.0000)  4 Ge 2.57

ΔE_f (eV per atom): -0.922
Final energy (eV for the cell shown): -64.2

The following is a PBE calculation of an optimized crystal structure of Mn2NbSnN, from Alexandria.

Cell: 4.0411 4.0411 4.3411 Å, 90.00 90.00 90.00°
Last column: nearest neighbours and their distance in Å.
Space group P4/mmm (No. 123)
Inequivalent atoms, fractional coordinates:
Mn (0.0000, 0.5000, 0.0000)  2 N 2.02
Nb (0.0000, 0.0000, 0.5000)  2 N 2.17
Sn (0.5000, 0.5000, 0.5000)  4 Nb 2.86, 8 Mn 2.97
N (0.0000, 0.0000, 0.0000)  4 Mn 2.02, 2 Nb 2.17

Final energy (eV for the cell shown): -42.0

The following is a PBE calculation of an optimized crystal structure of TaTl2Si, from Alexandria.

Cell: 4.2987 4.2987 8.9918 Å, 90.00 90.00 90.00°
Last column: nearest neighbours and their distance in Å.
Space group I-4m2 (No. 119)
Inequivalent atoms, fractional coordinates:
Ta (0.0000, 0.0000, 0.0000)  8 Tl 3.04-3.11, 4 Si 3.11
Tl (0.0000, 0.0000, 0.5000)  4 Ta 3.04, 4 Tl 3.11, 4 Si 3.11
Tl (0.0000, 0.5000, 0.7500)  4 Si 3.04, 4 Tl 3.11, 4 Ta 3.11
Si (0.0000, 0.5000, 0.2500)  8 Tl 3.04-3.11, 4 Ta 3.11

Final energy (eV for the cell shown): -38.3

The following is a PBE calculation of an optimized crystal structure of Mo2PdRu, from Alexandria.

Cell: 6.2555 6.2555 6.2555 Å, 90.00 90.00 90.00°
Last column: nearest neighbours and their distance in Å.
Space group F-43m (No. 216)
Inequivalent atoms, fractional coordinates:
Mo (0.0000, 0.0000, 0.0000)  4 Mo 2.71, 4 Ru 2.71
Mo (0.2500, 0.2500, 0.2500)  4 Mo 2.71, 4 Pd 2.71
Pd (0.0000, 0.0000, 0.5000)  4 Mo 2.71, 4 Ru 2.71
Ru (0.2500, 0.2500, 0.7500)  4 Mo 2.71, 4 Pd 2.71

ΔE_f (eV per atom): 0.238
Final energy (eV for the cell shown): -140.7